1.
The following is a DFT calculation (PBEsol) of Li3Co2O5 after structural relaxation.

abc: 4.847 5.648 6.293
angles: 103.49 97.17 106.86
Last column: magnetic moment on the atom in μB.
Positions (direct):
O (0.603, 0.471, 0.687)  0.00
O (0.185, 0.651, 0.874)  0.07
O (0.173, 0.135, 0.909)  0.05
O (0.003, 0.272, 0.484)  0.01
O (0.602, 0.919, 0.695)  0.06
O (0.397, 0.529, 0.313)  0.00
O (0.815, 0.349, 0.126)  0.07
O (0.398, 0.081, 0.305)  0.06
O (0.997, 0.728, 0.516)  0.01
O (0.827, 0.865, 0.091)  0.05
Li (0.303, 0.097, 0.608)  0.00
Li (0.500, 0.000, 0.000)  0.01
Li (0.697, 0.903, 0.392)  0.00
Li (0.500, 0.500, 0.000)  0.00
Li (0.890, 0.295, 0.806)  0.00
Li (0.110, 0.705, 0.194)  0.00
Co (0.099, 0.197, 0.196)  0.47
Co (0.901, 0.803, 0.804)  0.47
Co (0.301, 0.603, 0.603)  0.33
Co (0.699, 0.397, 0.397)  0.33

## Properties
**Volume**: 7.84 A^3/atom
**Magnetization**: 1.03 μB/f.u.
**Relative energy among the computed polymorphs**: 0.00 eV/f.u.
**Calculated total energy**: -63.387 eV per formula unit
**Fermi-level density of states**: 6.9 states/eV per cell

=====

2.
The following is a DFT calculation (PBEsol) of Li5Co3O8 after structural relaxation.

abc: 4.833 4.905 5.622
angles: 90.00 90.00 109.48
Last column: magnetic moment on the atom in μB.
Positions (direct):
Li (0.500, 0.500, 0.741)  0.00
Li (0.500, 0.500, 0.259)  0.00
Li (0.000, 0.500, 0.500)  0.00
Li (0.500, 0.000, 0.500)  0.01
Li (0.000, 0.500, 0.000)  0.01
Co (0.000, 0.000, 0.254)  0.53
Co (0.000, 0.000, 0.746)  0.53
Co (0.500, 0.000, 0.000)  0.50
O (0.241, 0.216, 0.000)  -0.01
O (0.759, 0.784, 0.000)  -0.01
O (0.217, 0.227, 0.500)  0.05
O (0.750, 0.220, 0.234)  0.08
O (0.250, 0.780, 0.766)  0.08
O (0.750, 0.220, 0.766)  0.08
O (0.783, 0.773, 0.500)  0.05
O (0.250, 0.780, 0.234)  0.08

## Properties
**Volume**: 7.85 A^3/atom
**Magnetization**: 2.05 μB/f.u.
**Relative energy among the computed polymorphs**: 0.04 eV/f.u.
**Calculated total energy**: -100.357 eV per formula unit
**Fermi-level density of states**: 4.5 states/eV per cell

=====

3.
The following is a DFT calculation (PBEsol) of Li5Co3O8 after structural relaxation.

abc: 4.831 4.890 5.618
angles: 73.11 89.98 80.66
Last column: magnetic moment on the atom in μB.
Positions (direct):
O (0.102, 0.226, 0.942)  0.06
O (0.361, 0.777, 0.791)  0.06
O (0.132, 0.216, 0.446)  -0.01
O (0.868, 0.784, 0.554)  -0.01
O (0.641, 0.220, 0.678)  0.07
O (0.639, 0.223, 0.209)  0.06
O (0.359, 0.780, 0.322)  0.07
O (0.898, 0.774, 0.058)  0.06
Li (0.262, 0.503, 0.121)  0.00
Li (0.738, 0.497, 0.879)  0.00
Li (0.255, 0.495, 0.630)  0.00
Li (0.745, 0.505, 0.370)  0.00
Li (0.500, 0.000, 0.000)  0.01
Co (0.000, 0.999, 0.754)  0.54
Co (0.500, 0.000, 0.500)  0.48
Co (0.000, 0.001, 0.246)  0.54

## Properties
**Volume**: 7.82 A^3/atom
**Magnetization**: 2.04 μB/f.u.
**Relative energy among the computed polymorphs**: 0.00 eV/f.u.
**Calculated total energy**: -100.395 eV per formula unit
**Fermi-level density of states**: 4.8 states/eV per cell

=====

Q: Which formula does entry 2 have?
A: Li5Co3O8